No. 1
Crystalline MnBeAl2 at its relaxed geometry, computed with GGA-PBE.

Properties
E_tot = -5.0107 eV/atom
energy of formation from the pure elements = 0.085 eV/atom
size of the total moment = 2.31 μB/f.u.

a b c (Å): 8.3586 8.3586 8.3586
angles (deg): 18.80 18.80 18.80
Closest atoms and distances in Å follow each position.
Fractional coordinates of all 4 atoms:
Be: 0.4953 0.4953 0.4953  3 Mn 2.40, 3 Al 2.55
Al: 0.0062 0.0062 0.0062  3 Mn 2.57, 9 Al 2.73-2.85
Al: 0.2432 0.2432 0.2432  3 Be 2.55, 9 Al 2.73-2.85
Mn: 0.7554 0.7554 0.7554  3 Be 2.40, 3 Al 2.57



No. 2
Crystalline MnBeAl2 at its relaxed geometry, computed with GGA-PBE.

Properties
E_tot = -4.6953 eV/atom
energy of formation from the pure elements = 0.400 eV/atom
size of the total moment = 2.72 μB/f.u.

a b c (Å): 6.8208 6.8208 5.4251
angles (deg): 51.05 51.05 90.00
Closest atoms and distances in Å follow each position.
Fractional coordinates of all 8 atoms:
Al: 0.8750 0.8367 0.7500  2 Be 2.32, 2 Al 2.54
Al: 0.1633 0.6250 0.2500  2 Be 2.32, 2 Al 2.54
Al: 0.3750 0.4133 0.7500  2 Be 2.32, 2 Al 2.54
Al: 0.5867 0.1250 0.2500  2 Be 2.32, 2 Al 2.54
Mn: 0.7500 0.2500 0.5000  2 Be 2.48, 4 Al 2.68
Mn: 0.0000 0.0000 0.0000  2 Be 2.48, 4 Al 2.68
Be: 0.2500 0.7500 0.5000  4 Al 2.32, 2 Mn 2.48
Be: 0.5000 0.5000 0.0000  4 Al 2.32, 2 Mn 2.48



No. 3
Crystalline Mn2BeAl at its relaxed geometry, computed with GGA-PBE.

Properties
E_tot = -6.6577 eV/atom
energy of formation from the pure elements = -0.206 eV/atom
size of the total moment = 0.00 μB/f.u.

a b c (Å): 2.7775 2.7775 5.5885
angles (deg): 90.00 90.00 90.00
Closest atoms and distances in Å follow each position.
Fractional coordinates of all 4 atoms:
Al: 0.0000 0.0000 0.5075  4 Be 2.48, 5 Mn 2.52-2.70
Mn: 0.5000 0.5000 0.2237  4 Mn 2.36, 1 Be 2.49, 4 Al 2.52
Mn: 0.0000 0.0000 0.9908  4 Be 2.30, 4 Mn 2.36
Be: 0.5000 0.5000 0.7780  5 Mn 2.30-2.49, 4 Al 2.48



No. 4
Crystalline MnBe3Al at its relaxed geometry, computed with GGA-PBE.

Properties
offset from the most stable computed form = 0.00 eV/f.u.
E_tot = -3.9579 eV/atom
energy of formation from the pure elements = 0.860 eV/atom
size of the total moment = 0.08 μB/f.u.

a b c (Å): 3.9759 3.9759 3.9759
angles (deg): 90.00 90.00 90.00
Closest atoms and distances in Å follow each position.
Fractional coordinates of all 5 atoms:
Mn: 0.0000 0.0000 0.0000  6 Be 1.99
Be: 0.0000 0.0000 0.5000  2 Mn 1.99
Be: 0.0000 0.5000 0.0000  2 Mn 1.99
Be: 0.5000 0.0000 0.0000  2 Mn 1.99
Al: 0.5000 0.5000 0.5000  12 Be 2.81



No. 5
Crystalline Mn2BeAl at its relaxed geometry, computed with GGA-PBE.

Properties
E_tot = -6.4971 eV/atom
energy of formation from the pure elements = -0.045 eV/atom
size of the total moment = 1.52 μB/f.u.

a b c (Å): 2.8784 3.9517 3.9035
angles (deg): 90.00 90.00 90.00
Closest atoms and distances in Å follow each position.
Fractional coordinates of all 4 atoms:
Al: 0.5000 0.0000 0.5000  4 Mn 2.42, 4 Be 2.44
Mn: 0.5000 0.5000 0.0000  4 Be 2.42, 4 Mn 2.44
Mn: 0.0000 0.0000 0.0000  4 Al 2.42, 4 Mn 2.44
Be: 0.0000 0.5000 0.5000  4 Mn 2.42, 4 Al 2.44



No. 6
Crystalline MnBeAl2 at its relaxed geometry, computed with GGA-PBE.

Properties
E_tot = -5.1465 eV/atom
energy of formation from the pure elements = -0.051 eV/atom
size of the total moment = 1.82 μB/f.u.

a b c (Å): 3.9138 2.7448 4.8995
angles (deg): 76.25 90.00 90.00
Closest atoms and distances in Å follow each position.
Fractional coordinates of all 4 atoms:
Mn: 0.5000 0.5568 0.7528  2 Be 2.30, 5 Al 2.55-2.57
Al: 0.0000 0.9758 0.9493  3 Be 2.49-2.63, 4 Mn 2.56-2.57, 2 Al 2.74
Al: 0.5000 0.2668 0.2965  3 Mn 2.55-2.59, 4 Be 2.55-2.61, 4 Al 2.74-2.83
Be: 0.0000 0.7007 0.5013  2 Mn 2.30, 3 Al 2.49-2.55